(1)
First-principles (PBE-GGA) data for an optimized crystal structure of Be8V3Fe, as listed in Alexandria via LeMat-Bulk.

Geometry as extended XYZ:
```
12
Lattice="4.2815 0.0000 0.0000 -2.1407 3.7079 0.0000 0.0000 0.0000 6.9688" Properties=species:S:1:pos:R:3 pbc="T T T"
Be 0.0000 2.4719 3.4820
Be 0.0000 2.4719 6.9582
Be 2.1407 0.0239 5.2092
Be 1.0911 1.8420 5.2092
Be 3.1904 1.8420 5.2092
Be 0.0000 1.2114 1.7586
Be -1.0916 3.1022 1.7586
Be 1.0916 3.1022 1.7586
V 2.1407 1.2360 3.0625
V 2.1407 1.2360 0.4674
V 0.0000 0.0000 6.4762
Fe 0.0000 0.0000 3.9478
```

Symmetry = P3m1 (156)
E_form = -3.33 eV/f.u.

(2)
First-principles (PBE-GGA) data for an optimized crystal structure of AlAs3Rh, as listed in Alexandria via LeMat-Bulk.

Geometry as extended XYZ:
```
5
Lattice="-1.2756 -3.5290 2.8560 3.3348 1.2847 3.0768 -3.0805 2.8520 2.1481" Properties=species:S:1:pos:R:3 pbc="T T T"
As 1.6674 0.6423 1.5384
As -1.5403 1.4260 1.0740
As -0.6378 -1.7645 1.4280
Rh -0.5107 0.3038 4.0404
Al 0.0000 0.0000 0.0000
```

Symmetry = Pm-3m (221)
E_form = 4.10 eV/f.u.

(3)
First-principles (PBE-GGA) data for an optimized crystal structure of Zn12Pd2Au5, as listed in Alexandria via LeMat-Bulk.

Geometry as extended XYZ:
```
19
Lattice="5.5274 0.0000 0.0000 -2.7637 6.6958 1.0913 0.0000 -1.0581 9.1544" Properties=species:S:1:pos:R:3 pbc="T T T"
Zn 2.7637 6.2760 3.1328
Zn -1.4171 3.4482 8.9031
Zn 1.4171 3.4482 8.9031
Zn -1.3552 4.2243 4.4674
Zn 1.3552 4.2243 4.4674
Zn 0.0000 5.7513 7.9064
Zn 2.7637 -0.1136 2.3393
Zn 4.1189 1.4134 5.7783
Zn 1.4086 1.4134 5.7783
Zn 4.1808 2.1896 1.3426
Zn 1.3467 2.1896 1.3426
Zn 0.0000 -0.6382 7.1128
Pd 4.1261 0.0000 0.0000
Pd 1.4014 0.0000 0.0000
Au 0.0000 3.5036 6.6217
Au 0.0000 4.2789 2.1220
Au 0.0000 -0.5290 4.5772
Au 2.7637 1.3589 8.1236
Au 2.7637 2.1342 3.6239
```

Symmetry = C2/m (12)
E_form = -2.74 eV/f.u.

(4)
First-principles (PBE-GGA) data for an optimized crystal structure of Li5BiSb4, as listed in Alexandria via LeMat-Bulk.

Geometry as extended XYZ:
```
10
Lattice="3.2511 0.0000 0.0000 0.0000 3.2511 0.0000 0.0000 -0.0001 20.9732" Properties=species:S:1:pos:R:3 pbc="T T T"
Li 1.6256 1.6256 2.2394
Li 1.6256 1.6255 6.3275
Li 1.6256 1.6255 10.4866
Li 1.6256 1.6255 14.6457
Li 1.6256 1.6255 18.7337
Bi 0.0000 0.0000 0.0000
Sb 0.0000 0.0000 4.2411
Sb 0.0000 0.0000 8.4127
Sb 0.0000 0.0000 12.5605
Sb 0.0000 0.0000 16.7321
```

Symmetry = P4/mmm (123)
Energy relative to the elements, uncorrected = -0.402 eV/atom

(5)
First-principles (PBE-GGA) data for an optimized crystal structure of SrCr2Br, as listed in Alexandria via LeMat-Bulk.

Geometry as extended XYZ:
```
4
Lattice="-1.9807 3.3495 1.8332 -1.5132 -0.3248 4.0135 6.2407 2.3081 2.5514" Properties=species:S:1:pos:R:3 pbc="T T T"
Br 1.1164 0.9569 1.3733
Cr 5.0918 2.4194 2.9854
Cr 2.4538 4.3228 6.7589
Sr 1.6990 2.6082 4.0311
```

Symmetry = Cm (8)
Energy relative to the elements, uncorrected = 0.096 eV/atom

(6)
First-principles (PBE-GGA) data for an optimized crystal structure of LaTiPO2, as listed in Alexandria via LeMat-Bulk.

Geometry as extended XYZ:
```
5
Lattice="-2.2014 -3.3564 0.8513 2.9327 -3.9251 -7.8917 3.2113 -1.6015 1.9899" Properties=species:S:1:pos:R:3 pbc="T T T"
P 1.9713 -4.4415 -2.5252
Ti 1.4663 -1.9626 -3.9458
O 1.6056 -0.8007 0.9949
O -1.1007 -1.6782 0.4257
La 0.0000 0.0000 0.0000
```

Symmetry = P4/mmm (123)
Energy relative to the elements, uncorrected = -0.711 eV/atom

(7)
First-principles (PBE-GGA) data for an optimized crystal structure of TaBi2N2, as listed in Alexandria via LeMat-Bulk.

Geometry as extended XYZ:
```
5
Lattice="-1.6714 2.3918 -2.5462 -1.4044 -3.0445 -1.9381 -6.7924 -0.1836 1.3412" Properties=species:S:1:pos:R:3 pbc="T T T"
N -5.0008 0.9409 -1.7236
N -4.8673 -1.7773 -1.4195
Bi -3.1164 -0.2835 -1.1656
Bi -6.7517 -0.5529 -1.9774
Ta 0.0000 0.0000 0.0000
```

Symmetry = I4/mmm (139)
Energy relative to the elements, uncorrected = 1.607 eV/atom

(8)
First-principles (PBE-GGA) data for an optimized crystal structure of SeSBr, as listed in Alexandria via LeMat-Bulk.

Geometry as extended XYZ:
```
6
Lattice="-0.0202 -0.9420 2.4327 6.7220 -1.9440 -0.0260 9.5393 6.5830 9.1525" Properties=species:S:1:pos:R:3 pbc="T T T"
Se 7.4337 2.2887 7.3229
Se 8.8074 1.4084 4.2362
S 10.0976 5.8148 8.8593
S 6.1435 -2.1178 2.6999
Br 3.9809 0.6515 3.8311
Br 12.2602 3.0456 7.7280
```

Symmetry = P-1 (2)
Energy relative to the elements, uncorrected = 0.145 eV/atom

(9)
First-principles (PBE-GGA) data for an optimized crystal structure of TlTePb2, as listed in Alexandria via LeMat-Bulk.

Geometry as extended XYZ:
```
4
Lattice="-0.2314 -2.6109 -5.3122 1.0796 -2.8838 1.3704 -5.5440 -3.2376 1.8327" Properties=species:S:1:pos:R:3 pbc="T T T"
Pb -0.2322 -0.2653 0.1405
Pb -0.7417 -3.3015 -1.6478
Te -2.8160 -2.6315 1.4160
Tl -3.1381 -5.5949 -0.4162
```

Symmetry = Pm (6)
Energy relative to the elements, uncorrected = -0.066 eV/atom

(10)
First-principles (PBE-GGA) data for an optimized crystal structure of BaCa14Ho, as listed in Alexandria via LeMat-Bulk.

Geometry as extended XYZ:
```
16
Lattice="7.7859 -0.4817 0.0000 -3.4946 6.9742 0.0000 0.0000 0.0000 12.8080" Properties=species:S:1:pos:R:3 pbc="T T T"
Ba -3.0453 6.6772 6.4040
Ca -1.1285 5.4103 0.0000
Ca 4.4999 1.6902 0.0000
Ca -1.2966 3.1778 6.4040
Ca 0.6121 1.9406 0.0000
Ca 0.8595 6.4399 6.4040
Ca 2.7458 5.1689 0.0000
Ca 2.5094 0.7223 9.6081
Ca 2.5094 0.7223 3.1998
Ca 4.6103 3.9008 9.6081
Ca 4.6103 3.9008 3.1998
Ca 0.7567 4.1643 9.5395
Ca 0.7567 4.1643 3.2684
Ca 6.3600 0.4608 9.6640
Ca 6.3600 0.4608 3.1440
Ho 2.6101 2.9393 6.4040
```

Symmetry = Amm2 (38)
E_form = 0.80 eV/f.u.

(11)
First-principles (PBE-GGA) data for an optimized crystal structure of Tb2Zn15Rh2, as listed in Alexandria via LeMat-Bulk.

Geometry as extended XYZ:
```
19
Lattice="6.7648 -0.0491 -0.0438 0.8289 6.7140 -0.0438 0.8289 0.7275 6.6746" Properties=species:S:1:pos:R:3 pbc="T T T"
Tb 2.7942 2.4525 2.1853
Tb 5.6285 4.9400 4.4018
Zn 3.3824 -0.0246 -0.0219
Zn 0.4145 0.3638 3.3373
Zn 0.4145 3.3570 -0.0219
Zn 0.8289 5.0138 1.8644
Zn 5.0789 1.8718 -0.0438
Zn 2.5148 0.5070 4.7665
Zn 2.5148 4.7932 -0.0438
Zn 5.0789 0.1715 1.8644
Zn 0.8289 2.4278 4.7665
Zn 2.1036 4.8135 4.2891
Zn 5.0457 4.4286 0.9591
Zn 5.0457 1.4613 4.2891
Zn 6.3191 2.5789 2.2980
Zn 3.3770 2.9639 5.6280
Zn 3.3770 5.9312 2.2980
Rh 0.9289 0.8153 0.7265
Rh 7.4938 6.5771 5.8606
```

Symmetry = R-3m (166)
E_form = -5.67 eV/f.u.

(12)
First-principles (PBE-GGA) data for an optimized crystal structure of TaTiB, as listed in Alexandria via LeMat-Bulk.

Geometry as extended XYZ:
```
12
Lattice="4.9243 0.8414 0.0000 -0.9447 5.4078 0.0000 0.0000 0.0000 6.3245" Properties=species:S:1:pos:R:3 pbc="T T T"
Ta 3.1822 3.8135 0.7880
Ta 0.3250 5.1396 3.9502
Ta 0.7973 2.4357 5.5365
Ta 3.6546 1.1096 2.3742
Ti 0.3519 5.1820 0.7969
Ti 3.1553 3.7712 3.9591
Ti 3.6277 1.0672 5.5276
Ti 0.8242 2.4781 2.3653
B 2.2348 1.7905 0.7875
B 2.2171 1.7548 3.9497
B 1.7447 4.4587 5.5370
B 1.7625 4.4944 2.3748
```

Symmetry = P2_1/c (14)
E_form = -0.84 eV/f.u.

(13)
First-principles (PBE-GGA) data for an optimized crystal structure of TlVPRu2, as listed in Alexandria via LeMat-Bulk.

Geometry as extended XYZ:
```
5
Lattice="4.4028 0.0000 0.0000 0.0000 4.3780 0.0000 0.0000 0.0000 4.4028" Properties=species:S:1:pos:R:3 pbc="T T T"
Ru 0.0000 0.0000 2.2014
Ru 2.2014 0.0000 0.0000
Tl 2.2014 2.1890 2.2014
P 0.0000 0.0000 0.0000
V 0.0000 2.1890 0.0000
```

Symmetry = P4/mmm (123)
E_form = 1.35 eV/f.u.

(14)
First-principles (PBE-GGA) data for an optimized crystal structure of Pu2Si2MoRu5, as listed in Alexandria via LeMat-Bulk.

Geometry as extended XYZ:
```
20
Lattice="3.1330 0.0000 0.0000 0.0000 10.2019 0.0000 0.0000 0.0000 10.2019" Properties=species:S:1:pos:R:3 pbc="T T T"
Pu 0.0000 6.8852 1.7842
Pu 0.0000 3.3167 8.4176
Pu 0.0000 1.7842 3.3167
Pu 0.0000 8.4176 6.8852
Si 0.0000 1.2900 6.3909
Si 0.0000 8.9119 3.8110
Si 0.0000 6.3909 8.9119
Si 0.0000 3.8110 1.2900
Mo 0.0000 0.0000 0.0000
Mo 0.0000 5.1009 5.1009
Ru 1.5665 2.0971 0.6540
Ru 1.5665 8.1047 9.5479
Ru 1.5665 0.6540 8.1047
Ru 1.5665 7.1981 4.4470
Ru 1.5665 9.5479 2.0971
Ru 1.5665 3.0038 5.7549
Ru 1.5665 5.7549 7.1981
Ru 1.5665 4.4470 3.0038
Ru 1.5665 5.1009 0.0000
Ru 1.5665 0.0000 5.1009
```

Symmetry = P4/mbm (127)
Energy relative to the elements, uncorrected = -0.297 eV/atom

(15)
First-principles (PBE-GGA) data for an optimized crystal structure of LiSiH, as listed in Alexandria via LeMat-Bulk.

Geometry as extended XYZ:
```
6
Lattice="-2.6830 -0.6499 -3.6753 -1.9555 -2.6019 1.8876 -1.7624 3.6117 3.1527" Properties=species:S:1:pos:R:3 pbc="T T T"
Li -1.9208 -0.1078 -0.2635
Li -4.4801 0.4677 1.6285
Si -1.9966 1.5536 1.9482
Si -4.4043 -1.1937 -0.5832
H -4.6447 1.7912 -0.4677
H -1.7562 -1.4313 1.8327
```

Symmetry = P2_1/m (11)

(16)
First-principles (PBE-GGA) data for an optimized crystal structure of ZrTaIrS2, as listed in Alexandria via LeMat-Bulk.

Geometry as extended XYZ:
```
5
Lattice="-0.0891 -3.6164 -2.8420 3.4590 -2.2895 2.8049 -3.3252 -1.9132 2.5388" Properties=species:S:1:pos:R:3 pbc="T T T"
S -1.6626 -0.9566 1.2694
S -0.0446 -1.8082 -1.4210
Ir 0.0000 0.0000 0.0000
Zr 1.7295 -1.1448 1.4025
Ta 0.0223 -3.9096 1.2509
```

Symmetry = P4/mmm (123)
Energy relative to the elements, uncorrected = 0.881 eV/atom

(17)
First-principles (PBE-GGA) data for an optimized crystal structure of MoAs2SeCl, as listed in Alexandria via LeMat-Bulk.

Geometry as extended XYZ:
```
5
Lattice="-0.8912 0.6361 4.8198 -4.8443 0.2964 -0.9349 -0.3981 -4.7570 0.5542" Properties=species:S:1:pos:R:3 pbc="T T T"
Mo 0.0000 0.0000 0.0000
As -2.4221 0.1482 -0.4675
As -0.4456 0.3181 2.4099
Se -0.1990 -2.3785 0.2771
Cl -3.0668 -1.9122 2.2196
```

Symmetry = P4/mmm (123)
Energy relative to the elements, uncorrected = 0.206 eV/atom

(18)
First-principles (PBE-GGA) data for an optimized crystal structure of RbTl2IBr4, as listed in Alexandria via LeMat-Bulk.

Geometry as extended XYZ:
```
16
Lattice="-4.0396 8.4421 1.7971 -6.4389 -3.1543 6.2775 10.6541 -1.9910 0.5522" Properties=species:S:1:pos:R:3 pbc="T T T"
Rb -3.2194 -1.5772 3.1388
Rb -1.9321 5.8694 5.2119
Tl -2.0198 4.2210 0.8986
Tl 3.3072 3.2255 1.1747
Tl 5.3270 -0.9955 0.2761
Tl -5.2392 2.6439 4.0373
I 0.0878 1.6483 4.3134
I 6.6145 6.4510 2.3493
Br -5.7826 0.0313 5.0824
Br 0.7447 4.8099 3.0562
Br -0.5691 -1.5131 5.5705
Br 5.9581 3.2655 3.5445
Br -7.1259 3.7949 6.1103
Br -3.2788 3.0737 6.3038
Br 3.4543 0.2230 2.3230
Br 7.3015 -0.4983 2.5165
```

Symmetry = Imma (74)
Energy relative to the elements, uncorrected = -0.775 eV/atom

(19)
First-principles (PBE-GGA) data for an optimized crystal structure of CaTb6Nd4, as listed in Alexandria via LeMat-Bulk.

Geometry as extended XYZ:
```
11
Lattice="7.5844 -3.0874 -5.6528 -5.2745 8.1825 2.0581 -1.9902 3.0874 9.2475" Properties=species:S:1:pos:R:3 pbc="T T T"
Ca 0.0000 0.0000 0.0000
Tb -5.1311 7.9600 5.8517
Tb -3.9918 6.1926 8.3457
Tb -1.3323 5.0774 4.2069
Tb 1.1549 2.5475 -1.7973
Tb 3.5102 0.2225 -1.4459
Tb 2.7971 0.0000 1.7973
Nd -3.3623 5.2159 1.3911
Nd 0.1878 2.9666 2.0166
Nd -1.3109 2.0336 5.8815
Nd -2.4598 9.2363 7.6694
```

Symmetry = I-42m (121)
E_form = 3.60 eV/f.u.

(20)
First-principles (PBE-GGA) data for an optimized crystal structure of Dy8Er2Sc, as listed in Alexandria via LeMat-Bulk.

Geometry as extended XYZ:
```
11
Lattice="5.5551 -0.4235 -0.2959 0.4498 9.5693 2.5094 0.4498 5.6493 8.1212" Properties=species:S:1:pos:R:3 pbc="T T T"
Dy 1.7944 4.6055 5.1852
Dy 1.7944 6.4534 2.5397
Dy 4.6603 10.1896 5.1495
Dy 1.7888 8.2137 5.7375
Dy 4.6603 8.3417 7.7950
Dy 1.4512 2.7093 1.8925
Dy 5.0035 12.0858 8.4422
Dy 4.6659 6.5814 4.5972
Er 4.3888 3.9946 2.7903
Er 2.0659 10.8005 7.5444
Sc 0.0000 0.0000 0.0000
```

Symmetry = C2/m (12)
E_form = 2.07 eV/f.u.

| no. | total DFT energy (no corrections) (eV per atom) | mass density (g/cm3) |
| --- | --- | --- |
| 1 | -5.746 | 4.2 |
| 2 | -4.188 | 5.6 |
| 3 | -2.358 | 9.5 |
| 4 | -3.396 | 5.5 |
| 5 | -5.555 | 4.0 |
| 6 | -6.341 | 2.7 |
| 7 | -5.646 | 10.9 |
| 8 | -2.950 | 3.0 |
| 9 | -3.297 | 9.6 |
| 10 | -2.108 | 2.1 |
| 11 | -2.565 | 8.2 |
| 12 | -9.089 | 9.2 |
| 13 | -6.819 | 9.6 |
| 14 | -9.969 | 11.7 |
| 15 | -3.655 | 1.5 |
| 16 | -6.622 | 8.3 |
| 17 | -4.886 | 5.1 |
| 18 | -2.517 | 4.9 |
| 19 | -4.114 | 6.7 |
| 20 | -4.564 | 7.9 |